The following is a GGA+U calculation of MgFe2O4 after structural relaxation, from Alexandria via LeMat-Bulk.

Output
The size of the total moment is 24.00 Bohr magnetons per cell. As for the density of states at the Fermi level: 0.000 states/eV/atom. For the energy above the most stable polymorph in this dataset, the calculation gives 0.163 eV/atom. Its uncorrected energy is -176.2 eV per cell.

Structure (CIF):
```
data_MgFe2O4
_space_group_name_H-M_alt 'I m m a'
_space_group_IT_number 74
_space_group_name_Hall '-I 2b 2'
_cell_length_a 5.911
_cell_length_b 5.923
_cell_length_c 8.369
_cell_angle_alpha 90.00
_cell_angle_beta 90.00
_cell_angle_gamma 90.00
loop_
_atom_site_label
_atom_site_fract_x
_atom_site_fract_y
_atom_site_fract_z
Mg1 0.000 0.000 0.000
Fe1 0.000 0.250 0.385
Fe2 0.250 0.250 0.750
O1 0.000 0.020 0.751
O2 0.239 0.250 0.984
```